{"formula": "Zr4Ga2O", "functional": "PBE", "state": "relaxed", "lattice_angstrom": [[-0.772, 1.875, 3.717], [-0.679, -3.787, 1.769], [6.543, -1.441, 4.498]], "species": ["Ga", "Zr", "Ga", "Zr", "Zr", "Zr", "O"], "fractional_positions": [[0.641, 0.641, 0.717], [0.000, 0.500, 0.000], [0.359, 0.359, 0.283], [0.831, 0.831, 0.338], [0.169, 0.169, 0.662], [0.500, 0.000, 0.000], [0.000, 0.000, 0.000]]}



{"formula": "ZrGaO", "functional": "PBE", "state": "relaxed", "lattice_angstrom": [[-2.700, -0.141, -2.867], [-2.102, -1.235, 2.040], [-3.780, 7.608, 3.186]], "species": ["O", "Zr", "Ga", "O", "Ga", "Zr"], "fractional_positions": [[0.250, 0.279, 0.441], [0.250, 0.681, 0.637], [0.750, 0.952, 0.095], [0.750, 0.721, 0.559], [0.250, 0.048, 0.905], [0.750, 0.319, 0.363]]}



{"formula": "Zr3Ga5O12", "functional": "PBE", "state": "relaxed", "lattice_angstrom": [[10.609, 0.000, 0.000], [-3.536, 10.002, 0.000], [-3.536, -5.001, 8.662]], "species": ["Ga", "O", "Ga", "O", "Zr", "Zr", "Ga", "Zr", "O", "Zr", "O", "Ga", "O", "O", "Ga", "Zr", "O", "O", "O", "Ga", "O", "O", "Ga", "Zr", "O", "O", "O", "Zr", "O", "Ga", "Ga", "O", "O", "O", "Ga", "O", "O", "Ga", "O", "O", "O", "Ga", "O", "O", "Zr", "O", "O", "Ga", "O", "O", "Ga", "O", "O", "O", "O", "O", "Ga", "O", "O", "O", "Ga", "Zr", "Zr", "O", "O", "O", "O", "Ga", "Zr", "Zr", "O", "O", "Ga", "O", "O", "Ga", "O", "O", "Ga", "O"], "fractional_positions": [[0.750, 0.625, 0.375], [0.126, 0.413, 0.091], [0.500, 0.000, 0.000], [0.535, 0.322, 0.909], [0.750, 0.875, 0.625], [0.125, 0.250, 0.875], [0.250, 0.875, 0.125], [0.875, 0.125, 0.250], [0.591, 0.965, 0.678], [0.250, 0.625, 0.875], [0.591, 0.626, 0.413], [0.500, 0.500, 0.000], [0.787, 0.322, 0.913], [0.822, 0.913, 0.287], [0.500, 0.000, 0.500], [0.750, 0.375, 0.125], [0.465, 0.787, 0.874], [0.587, 0.713, 0.678], [0.913, 0.822, 0.787], [0.375, 0.250, 0.125], [0.091, 0.178, 0.465], [0.035, 0.626, 0.713], [0.875, 0.625, 0.750], [0.250, 0.125, 0.375], [0.213, 0.678, 0.087], [0.535, 0.213, 0.126], [0.678, 0.465, 0.591], [0.375, 0.750, 0.625], [0.965, 0.374, 0.287], [0.000, 0.000, 0.500], [0.375, 0.125, 0.750], [0.713, 0.587, 0.178], [0.787, 0.465, 0.374], [0.587, 0.874, 0.409], [0.625, 0.875, 0.250], [0.626, 0.035, 0.213], [0.087, 0.909, 0.374], [0.500, 0.500, 0.500], [0.913, 0.091, 0.626], [0.409, 0.035, 0.322], [0.626, 0.591, 0.913], [0.875, 0.250, 0.625], [0.287, 0.874, 0.965], [0.374, 0.409, 0.087], [0.375, 0.625, 0.250], [0.213, 0.535, 0.626], [0.874, 0.587, 0.909], [0.125, 0.375, 0.250], [0.822, 0.909, 0.035], [0.178, 0.087, 0.713], [0.000, 0.000, 0.000], [0.035, 0.409, 0.822], [0.409, 0.374, 0.587], [0.413, 0.287, 0.322], [0.178, 0.091, 0.965], [0.287, 0.413, 0.822], [0.625, 0.750, 0.875], [0.965, 0.591, 0.178], [0.465, 0.678, 0.091], [0.909, 0.087, 0.874], [0.750, 0.125, 0.875], [0.625, 0.250, 0.375], [0.875, 0.750, 0.125], [0.874, 0.287, 0.465], [0.322, 0.535, 0.409], [0.322, 0.787, 0.413], [0.713, 0.126, 0.035], [0.125, 0.750, 0.375], [0.625, 0.375, 0.750], [0.125, 0.875, 0.750], [0.126, 0.713, 0.535], [0.091, 0.913, 0.126], [0.000, 0.500, 0.000], [0.909, 0.822, 0.535], [0.374, 0.965, 0.787], [0.000, 0.500, 0.500], [0.678, 0.213, 0.587], [0.413, 0.126, 0.591], [0.250, 0.375, 0.625], [0.087, 0.178, 0.213]]}



{"formula": "ZrGaO2", "functional": "PBE", "state": "relaxed", "lattice_angstrom": [[-5.637, 0.326, 1.081], [-0.654, -5.430, -1.773], [-2.339, -4.182, 4.349]], "species": ["Ga", "O", "Zr", "O", "O", "O", "Zr", "Ga"], "fractional_positions": [[0.250, 0.750, 0.500], [0.975, 0.625, 0.250], [0.000, 0.000, 0.000], [0.875, 0.025, 0.750], [0.775, 0.125, 0.250], [0.375, 0.225, 0.750], [0.750, 0.250, 0.500], [0.500, 0.500, 0.000]]}



{"formula": "ZrGaO2", "functional": "PBE", "state": "relaxed", "lattice_angstrom": [[1.887, 0.000, 6.938], [-0.944, 1.635, 6.938], [-0.944, -1.635, 6.938]], "species": ["O", "Ga", "Zr", "O"], "fractional_positions": [[0.882, 0.882, 0.882], [0.000, 0.000, 0.000], [0.500, 0.500, 0.500], [0.118, 0.118, 0.118]]}



{"formula": "ZrGa2O", "functional": "PBE", "state": "relaxed", "lattice_angstrom": [[8.510, 0.000, 0.000], [0.000, 8.510, 0.000], [4.255, 4.255, 2.069]], "species": ["Ga", "O", "Ga", "Zr", "Ga", "Zr", "Ga", "O"], "fractional_positions": [[0.875, 0.787, 0.750], [0.500, 0.500, 0.000], [0.537, 0.125, 0.250], [0.000, 0.000, 0.000], [0.375, 0.463, 0.750], [0.750, 0.250, 0.500], [0.213, 0.625, 0.250], [0.250, 0.750, 0.500]]}



no.,ρ (g/cm³),E_form (uncorrected) (meV per atom)
1,6.43,-953
2,5.25,-1472
3,5.88,-2167
4,3.85,-1929
5,4.99,-2159
6,5.47,-658